1.
The following is a PBE calculation of RbBiOF2 after structural relaxation, from Alexandria via LeMat-Bulk.

POSCAR file:
```
RbBiOF2
1.0
4.7468 0.0000 0.0000
0.0000 4.7468 0.0000
0.0000 0.0000 4.4986
Rb Bi O F
1 1 1 2
Direct
0.0000 0.0000 0.0000 Rb
0.5000 0.5000 0.5000 Bi
0.5000 0.5000 0.0000 O
0.0000 0.5000 0.5000 F
0.5000 0.0000 0.5000 F
```

## Properties
E above lowest polymorph	0.0000	eV per atom
E_tot	-4.752	eV/atom
total magnetization	0.000	μB/cell
uncorrected formation energy	-2042.4	meV per atom
D(E_F)	0.00	states/eV/f.u.

2.
The following is a PBE calculation of Cs2K5Rb2Hg2 after structural relaxation, from Alexandria via LeMat-Bulk.

POSCAR file:
```
Cs2K5Rb2Hg2
1.0
-2.9301 2.9301 22.6637
2.9301 -2.9301 22.6637
2.9301 2.9301 -22.6637
Cs K Rb Hg
2 5 2 2
Direct
0.2127 0.2127 0.0000 Cs
0.7873 0.7873 0.0000 Cs
0.0000 0.0000 0.0000 K
0.0770 0.5770 0.5000 K
0.4230 0.9230 0.5000 K
0.5770 0.0770 0.5000 K
0.9230 0.4230 0.5000 K
0.3465 0.3465 0.0000 Rb
0.6535 0.6535 0.0000 Rb
0.1259 0.1259 0.0000 Hg
0.8741 0.8741 0.0000 Hg
```

## Properties
E_form	-1.290	kcal/mol of atoms
E_tot	-0.941	eV/atom
total magnetization	0.000	μB/cell
D(E_F)	7.69	states/eV/f.u.

3.
The following is a PBE calculation of ErTmBiO2 after structural relaxation, from Alexandria via LeMat-Bulk.

POSCAR file:
```
ErTmBiO2
1.0
-1.9220 1.9220 6.7153
1.9220 -1.9220 6.7153
1.9220 1.9220 -6.7153
Er Tm Bi O
1 1 1 2
Direct
0.0000 0.0000 0.0000 Er
0.3387 0.3387 0.0000 Tm
0.6695 0.6695 0.0000 Bi
0.4183 0.9183 0.5000 O
0.9183 0.4183 0.5000 O
```

## Properties
E_tot	-7.277	eV/atom
total magnetization	0.000	μB/cell
uncorrected formation energy	-2711.1	meV per atom
D(E_F)	1.39	states/eV/f.u.

Repeat the first record exactly.
The following is a PBE calculation of RbBiOF2 after structural relaxation, from Alexandria via LeMat-Bulk.

POSCAR file:
```
RbBiOF2
1.0
4.7468 0.0000 0.0000
0.0000 4.7468 0.0000
0.0000 0.0000 4.4986
Rb Bi O F
1 1 1 2
Direct
0.0000 0.0000 0.0000 Rb
0.5000 0.5000 0.5000 Bi
0.5000 0.5000 0.0000 O
0.0000 0.5000 0.5000 F
0.5000 0.0000 0.5000 F
```

## Properties
E above lowest polymorph	0.0000	eV per atom
E_tot	-4.752	eV/atom
total magnetization	0.000	μB/cell
uncorrected formation energy	-2042.4	meV per atom
D(E_F)	0.00	states/eV/f.u.